First-principles (PBEsol) data for an optimized crystal structure of TaBeZn2Tc, as listed in Alexandria.

```
TaBeZn2Tc
1.0
4.5467 0.0000 0.0000
0.0000 4.8820 0.0000
0.0000 0.0000 4.8820
Be Zn Tc Ta
1 2 1 1
Direct
0.5000 0.5000 0.5000
0.0000 0.5000 0.0000
0.0000 0.0000 0.5000
0.5000 0.0000 0.0000
0.0000 0.0000 0.0000
```

## Properties
The total magnetization comes out at 0.0001 μB per atom. The calculated formation energy comes out at 9.08 eV per formula unit. The calculation puts the density of states at the Fermi level at 4.62 states/eV/cell.

First-principles (PBEsol) data for an optimized crystal structure of TaBe2Te, as listed in Alexandria.

```
TaBe2Te
1.0
-1.9226 -1.9343 3.5452
-0.8184 -4.3973 -0.0214
2.3811 -2.7308 2.6230
Be Te Ta
2 1 1
Direct
0.7500 0.7500 0.7500
0.0000 0.0000 0.0000
0.2500 0.2500 0.2500
0.5000 0.5000 0.5000
```

## Properties
The total magnetization comes out at 0.0001 μB per atom. The calculation puts the density of states at the Fermi level at 2.63 states/eV/cell. The value obtained for the raw formation energy is 0.83 eV per atom.

First-principles (PBEsol) data for an optimized crystal structure of Ta2BeTe, as listed in Alexandria.

```
Ta2BeTe
1.0
-1.8459 -2.6480 -0.1748
2.2892 -1.8422 3.7223
-2.3757 3.4762 2.3429
Be Te Ta
1 1 2
Direct
0.5000 0.0000 0.0000
0.0000 0.5000 0.0000
0.2496 0.2294 0.4991
0.7505 0.7706 0.5009
```

## Properties
The total magnetization comes out at 0.0000 μB per atom. The calculation puts the density of states at the Fermi level at 2.39 states/eV/cell. The value obtained for the raw formation energy is 0.29 eV per atom. The value obtained for the excess energy over the best structure of this formula in the dataset is 0 meV/atom.

Please write out number 3 again, unchanged.
First-principles (PBEsol) data for an optimized crystal structure of Ta2BeTe, as listed in Alexandria.

```
Ta2BeTe
1.0
-1.8459 -2.6480 -0.1748
2.2892 -1.8422 3.7223
-2.3757 3.4762 2.3429
Be Te Ta
1 1 2
Direct
0.5000 0.0000 0.0000
0.0000 0.5000 0.0000
0.2496 0.2294 0.4991
0.7505 0.7706 0.5009
```

## Properties
The total magnetization comes out at 0.0000 μB per atom. The calculation puts the density of states at the Fermi level at 2.39 states/eV/cell. The value obtained for the raw formation energy is 0.29 eV per atom. The value obtained for the excess energy over the best structure of this formula in the dataset is 0 meV/atom.